No. 1
# PBE-GGA SrLi2AsF, relaxed
data_SrLi2AsF
_chemical_formula_sum 'Sr1 Li2 As1 F1'
_cell_length_a 6.892
_cell_length_b 6.892
_cell_length_c 5.376
_cell_angle_alpha 90.00
_cell_angle_beta 90.00
_cell_angle_gamma 90.00
_space_group_name_H-M_alt 'P 4/m m m'
_space_group_IT_number 123
_space_group_name_Hall '-P 4 2'
loop_
_atom_site_label
_atom_site_type_symbol
_atom_site_fract_x
_atom_site_fract_y
_atom_site_fract_z
Sr1 Sr 0.000 0.000 0.000
Li1 Li 0.000 0.500 0.000
As1 As 0.000 0.000 0.500
F1 F 0.500 0.500 0.500
# E: -2.146 eV/atom
# ΔE to the lowest computed polymorph: 178.38 kJ/mol of atoms
# Formation energy from raw total energies: 0.260 eV/atom



No. 2
# PBE-GGA SrLi2AsF, relaxed
data_SrLi2AsF
_chemical_formula_sum 'Sr1 Li2 As1 F1'
_cell_length_a 4.391
_cell_length_b 4.391
_cell_length_c 4.909
_cell_angle_alpha 90.00
_cell_angle_beta 90.00
_cell_angle_gamma 90.00
_space_group_name_H-M_alt 'P 4/m m m'
_space_group_IT_number 123
_space_group_name_Hall '-P 4 2'
loop_
_atom_site_label
_atom_site_type_symbol
_atom_site_fract_x
_atom_site_fract_y
_atom_site_fract_z
Sr1 Sr 0.000 0.000 0.000
Li1 Li 0.000 0.500 0.500
As1 As 0.500 0.500 0.000
F1 F 0.000 0.000 0.500
# E: -3.995 eV/atom
# ΔE to the lowest computed polymorph: 0.00 kJ/mol of atoms
# Formation energy from raw total energies: -1.589 eV/atom



No. 3
# PBE-GGA Sr2LiAsF, relaxed
data_Sr2LiAsF
_chemical_formula_sum 'Sr2 Li1 As1 F1'
_cell_length_a 5.238
_cell_length_b 5.238
_cell_length_c 4.175
_cell_angle_alpha 90.00
_cell_angle_beta 90.00
_cell_angle_gamma 90.00
_space_group_name_H-M_alt 'P 4/m m m'
_space_group_IT_number 123
_space_group_name_Hall '-P 4 2'
loop_
_atom_site_label
_atom_site_type_symbol
_atom_site_fract_x
_atom_site_fract_y
_atom_site_fract_z
Sr1 Sr 0.000 0.500 0.000
Li1 Li 0.000 0.000 0.500
As1 As 0.500 0.500 0.500
F1 F 0.000 0.000 0.000
# E: -3.884 eV/atom
# Formation energy from raw total energies: -1.525 eV/atom



No. 4
# PBE-GGA Li2TeAsF, relaxed
data_Li2TeAsF
_chemical_formula_sum 'Li2 Te1 As1 F1'
_cell_length_a 4.049
_cell_length_b 4.049
_cell_length_c 5.968
_cell_angle_alpha 90.00
_cell_angle_beta 90.00
_cell_angle_gamma 90.00
_space_group_name_H-M_alt 'P 4/m m m'
_space_group_IT_number 123
_space_group_name_Hall '-P 4 2'
loop_
_atom_site_label
_atom_site_type_symbol
_atom_site_fract_x
_atom_site_fract_y
_atom_site_fract_z
Li1 Li 0.000 0.500 0.000
Te1 Te 0.000 0.000 0.500
As1 As 0.500 0.500 0.500
F1 F 0.000 0.000 0.000
# E: -3.740 eV/atom
# Formation energy from raw total energies: -1.042 eV/atom



No. 5
# PBE-GGA LiTiAsF2, relaxed
data_LiTiAsF2
_chemical_formula_sum 'Li1 Ti1 As1 F2'
_cell_length_a 4.298
_cell_length_b 4.298
_cell_length_c 5.243
_cell_angle_alpha 90.00
_cell_angle_beta 90.00
_cell_angle_gamma 90.00
_space_group_name_H-M_alt 'P 4/m m m'
_space_group_IT_number 123
_space_group_name_Hall '-P 4 2'
loop_
_atom_site_label
_atom_site_type_symbol
_atom_site_fract_x
_atom_site_fract_y
_atom_site_fract_z
Li1 Li 0.000 0.000 0.000
Ti1 Ti 0.500 0.500 0.000
As1 As 0.500 0.500 0.500
F1 F 0.000 0.500 0.500
# E: -4.190 eV/atom
# Formation energy from raw total energies: -0.550 eV/atom



No. 6
# PBE-GGA LiTlAsF, relaxed
data_LiTlAsF
_chemical_formula_sum 'Li1 Tl1 As1 F1'
_cell_length_a 3.008
_cell_length_b 3.008
_cell_length_c 9.468
_cell_angle_alpha 81.08
_cell_angle_beta 81.29
_cell_angle_gamma 76.09
_space_group_name_H-M_alt 'P 1'
_space_group_IT_number 1
loop_
_space_group_symop_operation_xyz
'x,y,z'
loop_
_atom_site_label
_atom_site_type_symbol
_atom_site_fract_x
_atom_site_fract_y
_atom_site_fract_z
Li1 Li 0.000 0.000 0.000
Tl1 Tl 0.503 0.482 0.626
As1 As 0.038 0.020 0.355
F1 F 0.613 0.613 0.981
# E: -3.890 eV/atom
# ΔE to the lowest computed polymorph: 0.00 kJ/mol of atoms
# Formation energy from raw total energies: -1.189 eV/atom



V: 255, 95, 115, 98, 97, 82 (Å³ per cell)